Run i
This record from the Alexandria database describes crystalline SiTc3Bi at its relaxed geometry. The functional is GGA-PBE.

abc: 5.0363 5.0363 5.0363
angles: 90.00 90.00 90.00
Space group Pm-3m (No. 221)
Inequivalent atoms, fractional coordinates:
1 Si 0.0000 0.0000 0.0000 x1
2 Tc 0.0000 0.5000 0.5000 x3
3 Bi 0.5000 0.5000 0.5000 x1

Properties
M_tot (μB/atom): 1.21



Run ii
This record from the Alexandria database describes crystalline SiTc3Bi at its relaxed geometry. The functional is GGA-PBE.

abc: 4.5195 4.5195 4.5195
angles: 90.00 90.00 90.00
Space group Pm-3m (No. 221)
Inequivalent atoms, fractional coordinates:
1 Si 0.0000 0.0000 0.0000 x1
2 Tc 0.0000 0.0000 0.5000 x3
3 Bi 0.5000 0.5000 0.5000 x1

Properties
M_tot (μB/atom): 0.47



Which of them is the most stable, and which is the least stable? run ii and run i, in that order.



Run i
This record from the Alexandria database describes crystalline Si2Tc2Bi at its relaxed geometry. The functional is GGA-PBE.

abc: 7.4184 7.4184 2.9893
angles: 90.00 90.00 90.00
Space group P4/mbm (No. 127)
Inequivalent atoms, fractional coordinates:
1 Si 0.1330 0.3670 0.0000 x4
2 Tc 0.1481 0.6481 0.5000 x4
3 Bi 0.0000 0.0000 0.5000 x2

Properties
M_tot (μB/atom): 0.00



Run ii
This record from the Alexandria database describes crystalline Si2Tc2Bi at its relaxed geometry. The functional is GGA-PBE.

abc: 7.3669 7.3669 3.0298
angles: 90.00 90.00 90.00
Space group P4/mbm (No. 127)
Inequivalent atoms, fractional coordinates:
1 Si 0.1270 0.3730 0.0000 x4
2 Tc 0.1526 0.6526 0.5000 x4
3 Bi 0.0000 0.0000 0.0000 x2

Properties
M_tot (μB/atom): 0.00



Which of them is the most stable, and which is the least stable? run i and run ii, in that order.



Run i
This record from the Alexandria database describes crystalline SiTc2Bi at its relaxed geometry. The functional is GGA-PBE.

abc: 4.2329 4.2329 17.5715
angles: 90.00 90.00 90.00
Space group I-42d (No. 122)
Inequivalent atoms, fractional coordinates:
1 Si 0.0000 0.0000 0.0000 x4
2 Tc 0.1549 0.2500 0.1250 x8
3 Bi 0.0000 0.0000 0.5000 x4

Properties
M_tot (μB/atom): 0.00



Run ii
This record from the Alexandria database describes crystalline SiTc2Bi at its relaxed geometry. The functional is GGA-PBE.

abc: 6.3817 6.3817 6.3817
angles: 90.00 90.00 90.00
Space group Fm-3m (No. 225)
Inequivalent atoms, fractional coordinates:
1 Si 0.0000 0.0000 0.0000 x4
2 Tc 0.2500 0.2500 0.2500 x8
3 Bi 0.0000 0.0000 0.5000 x4

Properties
M_tot (μB/atom): 0.00



Which of them is the most stable, and which is the least stable? run ii and run i, in that order.